DyNb4Ga4 PBE-GGA relaxed; formation enthalpy at 0 K = -0.062 eV/atom
1.0
-3.0060 -2.2195 -3.4635
2.5831 -7.4644 2.5416
-6.1814 -0.2564 5.5293
Dy Nb Ga
2 8 8
direct
0.0000 0.0000 0.0000 Dy
0.5000 0.5000 0.5000 Dy
0.3841 0.4153 0.8683 Nb
0.8841 0.6317 0.9153 Nb
0.3841 0.5847 0.1317 Nb
0.1159 0.0847 0.6317 Nb
0.6159 0.8683 0.5847 Nb
0.1159 0.9153 0.3683 Nb
0.8841 0.3683 0.0847 Nb
0.6159 0.1317 0.4153 Nb
0.5912 0.8704 0.2287 Ga
0.5912 0.1296 0.7713 Ga
0.0912 0.7287 0.6296 Ga
0.9088 0.3704 0.7287 Ga
0.9088 0.6296 0.2713 Ga
0.4088 0.2287 0.1296 Ga
0.4088 0.7713 0.8704 Ga
0.0912 0.2713 0.3704 Ga

CsLiSbTe2 PBE-GGA relaxed; ΔE to the lowest computed polymorph = 0.0 meV per atom; uncorrected formation energy = -0.498 eV per atom
1.0
7.3870 0.0000 0.0000
0.0000 6.0895 0.0000
0.0000 -3.0448 8.4306
Cs Li Sb Te
2 2 2 4
direct
0.2366 0.7500 0.5000 Cs
0.7634 0.2500 0.5000 Cs
0.5000 0.7500 0.0000 Li
0.5000 0.2500 0.0000 Li
0.0000 0.0000 0.0000 Sb
0.0000 0.5000 0.0000 Sb
0.6940 0.8875 0.7749 Te
0.6940 0.6125 0.2251 Te
0.3060 0.3875 0.7749 Te
0.3060 0.1125 0.2251 Te

CdCoCl2 PBE-GGA relaxed; ΔE to the lowest computed polymorph = 156.2 meV per atom; uncorrected formation energy = -0.200 eV per atom
1.0
3.6299 -0.1279 0.0000
-2.0563 2.9941 0.0000
0.0000 0.0000 9.5526
Cl Co Cd
2 1 1
direct
0.0000 0.0000 0.0778 Cl
0.0000 0.0000 0.4222 Cl
0.5000 0.5000 0.2500 Co
0.5000 0.5000 0.7500 Cd